1.
Entry from Alexandria: a relaxed Pa4Au crystal (PBE).

Lattice parameters (Å, degrees): 5.4384 5.4384 5.4384 90.00 90.00 90.00
Last column: nearest neighbours and their distance in Å.
Space group Pm-3m (No. 221)
Symmetry-distinct sites (fractional):
1 Pa 0.0000 0.0000 0.0000 x1  12 Pa 3.85
2 Pa 0.0000 0.5000 0.5000 x3  2 Au 2.72
3 Au 0.5000 0.5000 0.5000 x1  6 Pa 2.72

Output
Final energy (eV/atom): -7.18


2.
Entry from Alexandria: a relaxed CaAsRu2 crystal (PBE).

Lattice parameters (Å, degrees): 6.4865 6.4865 6.4865 90.00 90.00 90.00
Last column: nearest neighbours and their distance in Å.
Space group F-43m (No. 216)
Symmetry-distinct sites (fractional):
1 Ca 0.0000 0.0000 0.0000 x4  4 As 2.81, 4 Ru 2.81
2 As 0.2500 0.2500 0.7500 x4  4 Ru 2.81, 4 Ca 2.81
3 Ru 0.0000 0.0000 0.5000 x4  4 Ru 2.81, 4 As 2.81
4 Ru 0.2500 0.2500 0.2500 x4  4 Ca 2.81, 4 Ru 2.81

Output
Final energy (eV/atom): -6.04


Number 1: energy relative to the elements 1.076 eV per atom. Number 2: energy relative to the elements 0.259 eV per atom.